! GGA-PBE ZrMnN3, optimized geometry; values from VASP
! **Crystal system**: cubic
! **Energy**: -8.586 eV per atom
&SYSTEM
  ibrav = 0, nat = 5, ntyp = 3
/
ATOMIC_SPECIES
Zr 91.22 Zr.upf
Mn 54.94 Mn.upf
N 14.01 N.upf
ATOMIC_POSITIONS crystal
Zr 0.0000 0.0000 0.0000
Mn 0.5000 0.5000 0.5000
N 0.0000 0.5000 0.5000
N 0.5000 0.0000 0.5000
N 0.5000 0.5000 0.0000
CELL_PARAMETERS angstrom
3.6630 0.0000 0.0000
0.0000 3.6630 0.0000
0.0000 0.0000 3.6630


! GGA-PBE Zr3MnN, optimized geometry; values from VASP
! **Crystal system**: cubic
! **Energy**: -7.442 eV per atom
&SYSTEM
  ibrav = 0, nat = 5, ntyp = 3
/
ATOMIC_SPECIES
Zr 91.22 Zr.upf
Mn 54.94 Mn.upf
N 14.01 N.upf
ATOMIC_POSITIONS crystal
Zr 0.0000 0.0000 0.5000
Zr 0.0000 0.5000 0.0000
Zr 0.5000 0.0000 0.0000
Mn 0.0000 0.0000 0.0000
N 0.5000 0.5000 0.5000
CELL_PARAMETERS angstrom
4.7290 0.0000 0.0000
0.0000 4.7290 0.0000
0.0000 0.0000 4.7290


! GGA-PBE ZrMn4N4, optimized geometry; values from VASP
! **Crystal system**: triclinic
! **Energy**: -9.218 eV per atom
&SYSTEM
  ibrav = 0, nat = 18, ntyp = 3
/
ATOMIC_SPECIES
Zr 91.22 Zr.upf
Mn 54.94 Mn.upf
N 14.01 N.upf
ATOMIC_POSITIONS crystal
Zr 0.2115 0.4445 0.3089
Zr 0.7885 0.5555 0.6911
Mn 0.2464 0.9755 0.0918
Mn 0.2478 0.9008 0.4536
Mn 0.2646 0.5140 0.9029
Mn 0.2854 0.0686 0.7486
Mn 0.7146 0.9314 0.2514
Mn 0.7354 0.4860 0.0971
Mn 0.7522 0.0992 0.5464
Mn 0.7536 0.0245 0.9082
N 0.0037 0.2670 0.9161
N 0.0662 0.2262 0.5425
N 0.4773 0.7035 0.2801
N 0.4982 0.2321 0.1029
N 0.5018 0.7679 0.8971
N 0.5227 0.2965 0.7199
N 0.9338 0.7738 0.4575
N 0.9963 0.7330 0.0839
CELL_PARAMETERS angstrom
5.0718 0.0000 0.0000
1.6715 5.0280 0.0000
0.8112 1.0018 7.6473


! GGA-PBE ZrMn2N, optimized geometry; values from VASP
! **Crystal system**: tetragonal
! **Energy**: -8.788 eV per atom
&SYSTEM
  ibrav = 0, nat = 8, ntyp = 3
/
ATOMIC_SPECIES
Zr 91.22 Zr.upf
Mn 54.94 Mn.upf
N 14.01 N.upf
ATOMIC_POSITIONS crystal
Zr 0.0000 0.0000 0.0000
Zr 0.7500 0.2500 0.5000
Mn 0.2729 0.6250 0.1479
Mn 0.3750 0.5229 0.6479
Mn 0.4771 0.1250 0.8521
Mn 0.8750 0.7271 0.3521
N 0.2500 0.7500 0.5000
N 0.5000 0.5000 0.0000
CELL_PARAMETERS angstrom
-2.7864 2.7864 3.9139
2.7864 -2.7864 3.9139
2.7864 2.7864 -3.9139


! GGA-PBE Zr4MnN, optimized geometry; values from VASP
! **Crystal system**: orthorhombic
! **Energy**: -8.993 eV per atom
&SYSTEM
  ibrav = 0, nat = 12, ntyp = 3
/
ATOMIC_SPECIES
Zr 91.22 Zr.upf
Mn 54.94 Mn.upf
N 14.01 N.upf
ATOMIC_POSITIONS crystal
Zr 0.1388 0.2450 0.0000
Zr 0.1388 0.2550 0.5000
Zr 0.3179 0.7266 0.2231
Zr 0.3179 0.7734 0.7231
Zr 0.6821 0.2266 0.7231
Zr 0.6821 0.2734 0.2231
Zr 0.8612 0.7450 0.5000
Zr 0.8612 0.7550 0.0000
Mn 0.5000 0.0000 0.4543
Mn 0.5000 0.5000 0.9543
N 0.0000 0.0000 0.7464
N 0.0000 0.5000 0.2464
CELL_PARAMETERS angstrom
5.9638 0.0000 0.0000
0.0000 5.4717 0.0000
0.0000 0.0000 6.8879


! GGA-PBE ZrMnN, optimized geometry; values from VASP
! **Crystal system**: tetragonal
! **Energy**: -9.299 eV per atom
&SYSTEM
  ibrav = 0, nat = 6, ntyp = 3
/
ATOMIC_SPECIES
Zr 91.22 Zr.upf
Mn 54.94 Mn.upf
N 14.01 N.upf
ATOMIC_POSITIONS crystal
Zr 0.2500 0.2500 0.1642
Zr 0.7500 0.7500 0.8358
Mn 0.2500 0.7500 0.5000
Mn 0.7500 0.2500 0.5000
N 0.2500 0.2500 0.8772
N 0.7500 0.7500 0.1228
CELL_PARAMETERS angstrom
3.1488 0.0000 0.0000
0.0000 3.1488 0.0000
0.0000 0.0000 7.9173


! GGA-PBE ZrMnN3, optimized geometry; values from VASP
! **Crystal system**: cubic
! **Energy**: -7.744 eV per atom
&SYSTEM
  ibrav = 0, nat = 5, ntyp = 3
/
ATOMIC_SPECIES
Zr 91.22 Zr.upf
Mn 54.94 Mn.upf
N 14.01 N.upf
ATOMIC_POSITIONS crystal
Zr 0.0000 0.0000 0.0000
Mn 0.5000 0.5000 0.5000
N 0.0000 0.0000 0.5000
N 0.0000 0.5000 0.0000
N 0.5000 0.0000 0.0000
CELL_PARAMETERS angstrom
4.1825 0.0000 0.0000
0.0000 4.1825 0.0000
0.0000 0.0000 4.1825


! GGA-PBE Zr5MnN6, optimized geometry; values from VASP
! **Crystal system**: monoclinic
! **Energy**: -9.905 eV per atom
&SYSTEM
  ibrav = 0, nat = 12, ntyp = 3
/
ATOMIC_SPECIES
Zr 91.22 Zr.upf
Mn 54.94 Mn.upf
N 14.01 N.upf
ATOMIC_POSITIONS crystal
Zr 0.0000 0.0000 0.0000
Zr 0.1663 0.8337 0.5000
Zr 0.3382 0.6618 0.0000
Zr 0.6618 0.3382 0.0000
Zr 0.8337 0.1663 0.5000
Mn 0.5000 0.5000 0.5000
N 0.0803 0.4160 0.2467
N 0.2492 0.2492 0.7469
N 0.4160 0.0803 0.2467
N 0.5840 0.9197 0.7533
N 0.7508 0.7508 0.2531
N 0.9197 0.5840 0.7533
CELL_PARAMETERS angstrom
2.8137 -4.8685 0.0000
2.8137 4.8685 0.0000
-1.8697 0.0000 5.3057


Formation energy without anion corrections readings, ordered: -0.0474, 1.1860, -0.4924, 0.0148, -0.3783, -0.6180, 0.7946, -1.4165 eV/atom